1.
Compound: Ac12TlGa7
Source: Alexandria via LeMat-Bulk
Functional: PBE-GGA
Structure: relaxed

abc: 9.7408 9.7408 9.7408
angles: 109.09 109.09 109.09
Sites, in units of the cell vectors:
Ac 0.8547 0.3350 0.7009
Ac 0.6650 0.2991 0.1453
Ac 0.3895 0.0875 0.3038
Ac 0.9125 0.6962 0.6105
Ac 0.2991 0.1453 0.6650
Ac 0.6962 0.6105 0.9125
Ac 0.3038 0.3895 0.0875
Ac 0.7009 0.8547 0.3350
Ac 0.0875 0.3038 0.3895
Ac 0.6105 0.9125 0.6962
Ac 0.3350 0.7009 0.8547
Ac 0.1453 0.6650 0.2991
Tl 0.0000 0.0000 0.0000
Ga 0.0775 0.7231 0.9826
Ga 0.2769 0.0174 0.9225
Ga 0.0174 0.9225 0.2769
Ga 0.5000 0.5000 0.5000
Ga 0.9826 0.0775 0.7231
Ga 0.7231 0.9826 0.0775
Ga 0.9225 0.2769 0.0174

The formation enthalpy at 0 K comes out at -0.239 eV/atom. The space group is No. 148.

***

2.
Compound: Ac3Tl2Ga2
Source: Alexandria via LeMat-Bulk
Functional: PBE-GGA
Structure: relaxed

abc: 4.3757 6.6297 9.1234
angles: 113.73 90.00 109.27
Sites, in units of the cell vectors:
Ac 0.3120 0.6241 0.3431
Ac 0.6880 0.3759 0.6569
Ac 0.5000 0.0000 0.0000
Tl 0.9625 0.9250 0.6681
Tl 0.0375 0.0750 0.3319
Ga 0.8100 0.6199 0.0552
Ga 0.1900 0.3801 0.9448

The formation enthalpy at 0 K comes out at -0.455 eV/atom. The space group is No. 12.